1.
# TeBrN2F

A relaxed structure of TeBrN2F (PBEsol, Alexandria).

Cell: 4.0904 4.0904 4.1590 Å, 90.00 90.00 90.00°
Sites, in units of the cell vectors:
1 Te 0.0000 0.0000 0.0000
2 Br 0.5000 0.5000 0.5000
3 N 0.0000 0.5000 0.5000
4 N 0.5000 0.0000 0.5000
5 F 0.5000 0.5000 0.0000

Properties
Relative energy among the computed polymorphs   50.8 kJ/mol of atoms
Energy relative to the elements, uncorrected   1.46 eV/atom
Calculated total energy   -3.42 eV per atom
DOS(E_F)   2.203 states/eV/f.u.

---

2.
# ReHg2Sb

A relaxed structure of ReHg2Sb (PBEsol, Alexandria).

Cell: 5.1459 5.1459 3.0076 Å, 90.00 90.00 90.00°
Sites, in units of the cell vectors:
1 Re 0.0000 0.0000 0.0000
2 Hg 0.0000 0.5000 0.5000
3 Hg 0.5000 0.0000 0.5000
4 Sb 0.5000 0.5000 0.0000

Properties
Energy relative to the elements, uncorrected   0.95 eV/atom
Calculated total energy   -3.81 eV per atom
DOS(E_F)   3.434 states/eV/f.u.

---

Question: Which formula does entry 1 have?
Answer: TeBrN2F